Record 1
PmCuTe3Pb, relaxed, DFT PBE-GGA; energy relative to the elements, uncorrected = -714 meV per atom; electronic total energy = -4.378 eV/atom; magnetic moment = 0.000 μB per atom
1.0
9.3189 0.0000 0.0000
0.0000 4.3400 0.0000
-2.3325 0.0000 9.4236
Pm Cu Te Pb
2 2 6 2
Direct
0.1758 0.2500 0.1706 Pm
0.8242 0.7500 0.8294 Pm
0.4251 0.7500 0.4258 Cu
0.5749 0.2500 0.5742 Cu
0.0696 0.2500 0.8308 Te
0.2810 0.2500 0.4976 Te
0.4078 0.7500 0.1385 Te
0.5922 0.2500 0.8615 Te
0.7190 0.7500 0.5024 Te
0.9304 0.7500 0.1692 Te
0.3158 0.7500 0.7659 Pb
0.6842 0.2500 0.2341 Pb

***

Record 2
NpMn2Ga, relaxed, DFT PBE-GGA; electronic total energy = -8.617 eV/atom; magnetic moment = 0.011 μB per atom
1.0
4.2113 0.0000 0.0000
0.0000 4.2113 0.0000
0.0000 0.0000 3.3263
Np Mn Ga
1 2 1
Direct
0.0000 0.0000 0.0000 Np
0.0000 0.5000 0.5000 Mn
0.5000 0.0000 0.5000 Mn
0.5000 0.5000 0.0000 Ga

***

Record 3
IrPt2, relaxed, DFT PBE-GGA; E above lowest polymorph = 440 meV/atom; electronic total energy = -6.501 eV/atom; magnetic moment = 0.000 μB per atom
1.0
1.9630 1.1334 4.0489
-1.9630 1.1334 4.0489
0.0000 -2.2667 4.0489
Ir Pt
1 2
Direct
0.0000 0.0000 0.0000 Ir
0.2263 0.2263 0.2263 Pt
0.7737 0.7737 0.7737 Pt

***

Record 4
SrCa2Ag2Hg2, relaxed, DFT PBE-GGA; electronic total energy = -2.024 eV/atom; magnetic moment = 0.000 μB per atom
1.0
2.4759 1.4294 9.6754
-2.4759 1.4294 9.6754
0.0000 -2.8589 9.6754
Sr Ca Ag Hg
1 2 2 2
Direct
0.0000 0.0000 0.0000 Sr
0.1265 0.1265 0.1265 Ca
0.8735 0.8735 0.8735 Ca
0.4061 0.4061 0.4061 Ag
0.5939 0.5939 0.5939 Ag
0.2540 0.2540 0.2540 Hg
0.7460 0.7460 0.7460 Hg

***

Q: Look up the electronic total energy of the fourth one.
A: -2.024 eV/atom